(1)
{
  "formula": "BeNbTcPb",
  "functional": "PBE",
  "state": "optimized geometry",
  "magnetic_moment_mub_per_cell": 0.0,
  "e_above_lowest_polymorph_ev_per_fu": 0.000,
  "spacegroup": "No. 216",
  "cell": [[0.0424, -1.4369, 4.2958], [-3.1765, 1.4271, 2.8971], [-3.1871, -2.8688, 1.4603]],
  "species": ["Be", "Nb", "Pb", "Tc"],
  "frac_coords": [[0.7500, 0.7500, 0.7500], [0.0000, 0.0000, 0.0000], [0.5000, 0.5000, 0.5000], [0.2500, 0.2500, 0.2500]]
}


(2)
{
  "formula": "SbPd124",
  "functional": "PBE",
  "state": "optimized geometry",
  "dft_energy_ev_per_atom": -5.182,
  "spacegroup": "No. 225",
  "cell": [[0.0000, 9.8063, 9.8063], [9.8063, 0.0000, 9.8063], [9.8063, 9.8063, 0.0000]],
  "species": ["Pd", "Pd", "Pd", "Pd", "Pd", "Pd", "Pd", "Pd", "Pd", "Pd", "Pd", "Pd", "Pd", "Pd", "Pd", "Pd", "Pd", "Pd", "Pd", "Pd", "Pd", "Pd", "Pd", "Pd", "Pd", "Pd", "Pd", "Pd", "Pd", "Pd", "Pd", "Pd", "Pd", "Pd", "Pd", "Pd", "Pd", "Pd", "Pd", "Pd", "Pd", "Pd", "Pd", "Pd", "Pd", "Pd", "Pd", "Pd", "Pd", "Pd", "Pd", "Pd", "Pd", "Pd", "Pd", "Pd", "Pd", "Pd", "Pd", "Pd", "Pd", "Pd", "Pd", "Pd", "Pd", "Pd", "Pd", "Pd", "Pd", "Pd", "Pd", "Pd", "Pd", "Pd", "Pd", "Pd", "Pd", "Pd", "Pd", "Pd", "Pd", "Pd", "Pd", "Pd", "Pd", "Pd", "Pd", "Pd", "Pd", "Pd", "Pd", "Pd", "Pd", "Pd", "Pd", "Pd", "Pd", "Pd", "Pd", "Pd", "Pd", "Pd", "Pd", "Pd", "Pd", "Pd", "Pd", "Pd", "Pd", "Pd", "Pd", "Pd", "Pd", "Pd", "Pd", "Pd", "Pd", "Pd", "Pd", "Pd", "Pd", "Pd", "Pd", "Pd", "Sb"],
  "frac_coords": [[0.2005, 0.0000, 0.0000], [0.4001, 0.0000, 0.0000], [0.5999, 0.0000, 0.0000], [0.7995, 0.0000, 0.0000], [0.4000, 0.1999, 0.0000], [0.2001, 0.2001, 0.0000], [0.5997, 0.2001, 0.0000], [0.0000, 0.2005, 0.0000], [0.7995, 0.2005, 0.0000], [0.4000, 0.4000, 0.0000], [0.1999, 0.4000, 0.0000], [0.0000, 0.4001, 0.0000], [0.5999, 0.4001, 0.0000], [0.7999, 0.4003, 0.0000], [0.2001, 0.5997, 0.0000], [0.0000, 0.5999, 0.0000], [0.4001, 0.5999, 0.0000], [0.6000, 0.6000, 0.0000], [0.8001, 0.6000, 0.0000], [0.0000, 0.7995, 0.0000], [0.2005, 0.7995, 0.0000], [0.4003, 0.7999, 0.0000], [0.7999, 0.7999, 0.0000], [0.6000, 0.8001, 0.0000], [0.6001, 0.6001, 0.1998], [0.4000, 0.0000, 0.1999], [0.0000, 0.4000, 0.1999], [0.4000, 0.4000, 0.1999], [0.5998, 0.4002, 0.2000], [0.8000, 0.4002, 0.2000], [0.4002, 0.5998, 0.2000], [0.8000, 0.5998, 0.2000], [0.4002, 0.8000, 0.2000], [0.5998, 0.8000, 0.2000], [0.4001, 0.2000, 0.2000], [0.2000, 0.2000, 0.2000], [0.2000, 0.4001, 0.2000], [0.2001, 0.0000, 0.2001], [0.5997, 0.0000, 0.2001], [0.0000, 0.2001, 0.2001], [0.0000, 0.5997, 0.2001], [0.2001, 0.5997, 0.2001], [0.5997, 0.2001, 0.2001], [0.0000, 0.0000, 0.2005], [0.7995, 0.0000, 0.2005], [0.0000, 0.7995, 0.2005], [0.7992, 0.2008, 0.2008], [0.2008, 0.7992, 0.2008], [0.7992, 0.7992, 0.2008], [0.3999, 0.3999, 0.3999], [0.8002, 0.3999, 0.3999], [0.3999, 0.8002, 0.3999], [0.6000, 0.4000, 0.4000], [0.4000, 0.6000, 0.4000], [0.6000, 0.6000, 0.4000], [0.1999, 0.0000, 0.4000], [0.4000, 0.0000, 0.4000], [0.0000, 0.4000, 0.4000], [0.1999, 0.4000, 0.4000], [0.0000, 0.1999, 0.4000], [0.4000, 0.1999, 0.4000], [0.0000, 0.0000, 0.4001], [0.5999, 0.0000, 0.4001], [0.0000, 0.5999, 0.4001], [0.2000, 0.2000, 0.4001], [0.5998, 0.2000, 0.4002], [0.8000, 0.2000, 0.4002], [0.2000, 0.5998, 0.4002], [0.8000, 0.5998, 0.4002], [0.2000, 0.8000, 0.4002], [0.5998, 0.8000, 0.4002], [0.7999, 0.0000, 0.4003], [0.0000, 0.7999, 0.4003], [0.7999, 0.7999, 0.4003], [0.2001, 0.2001, 0.5997], [0.2001, 0.0000, 0.5997], [0.0000, 0.2001, 0.5997], [0.4002, 0.2000, 0.5998], [0.8000, 0.2000, 0.5998], [0.2000, 0.4002, 0.5998], [0.8000, 0.4002, 0.5998], [0.2000, 0.8000, 0.5998], [0.4002, 0.8000, 0.5998], [0.8000, 0.8000, 0.5999], [0.0000, 0.0000, 0.5999], [0.4001, 0.0000, 0.5999], [0.0000, 0.4001, 0.5999], [0.6000, 0.0000, 0.6000], [0.8001, 0.0000, 0.6000], [0.0000, 0.6000, 0.6000], [0.8001, 0.6000, 0.6000], [0.0000, 0.8001, 0.6000], [0.6000, 0.8001, 0.6000], [0.4000, 0.4000, 0.6000], [0.6000, 0.4000, 0.6000], [0.4000, 0.6000, 0.6000], [0.6001, 0.1998, 0.6001], [0.1998, 0.6001, 0.6001], [0.6001, 0.6001, 0.6001], [0.2008, 0.2008, 0.7992], [0.7992, 0.2008, 0.7992], [0.2008, 0.7992, 0.7992], [0.0000, 0.0000, 0.7995], [0.2005, 0.0000, 0.7995], [0.0000, 0.2005, 0.7995], [0.4003, 0.0000, 0.7999], [0.0000, 0.4003, 0.7999], [0.7999, 0.0000, 0.7999], [0.7999, 0.4003, 0.7999], [0.0000, 0.7999, 0.7999], [0.4003, 0.7999, 0.7999], [0.5999, 0.8000, 0.8000], [0.8000, 0.5999, 0.8000], [0.8000, 0.8000, 0.8000], [0.4002, 0.2000, 0.8000], [0.5998, 0.2000, 0.8000], [0.2000, 0.4002, 0.8000], [0.5998, 0.4002, 0.8000], [0.2000, 0.5998, 0.8000], [0.4002, 0.5998, 0.8000], [0.6000, 0.0000, 0.8001], [0.0000, 0.6000, 0.8001], [0.6000, 0.6000, 0.8001], [0.3999, 0.3999, 0.8002], [0.0000, 0.0000, 0.0000]]
}


(3)
{
  "formula": "LaThMo3",
  "functional": "PBE",
  "state": "optimized geometry",
  "magnetic_moment_mub_per_cell": 0.0,
  "ef_mev_per_atom": 554,
  "spacegroup": "No. 74",
  "cell": [[-2.7901, 3.7956, 5.1839], [2.7901, -3.7956, 5.1839], [2.7901, 3.7956, -5.1839]],
  "species": ["La", "La", "Mo", "Mo", "Mo", "Mo", "Mo", "Mo", "Th", "Th"],
  "frac_coords": [[0.0000, 0.0000, 0.0000], [0.5000, 0.0000, 0.5000], [0.6693, 0.0000, 0.1693], [0.0499, 0.7999, 0.2500], [0.3307, 0.5000, 0.3307], [0.6693, 0.5000, 0.6693], [0.9501, 0.2001, 0.7500], [0.3307, 0.0000, 0.8307], [0.7791, 0.5291, 0.2500], [0.2209, 0.4709, 0.7500]]
}


(4)
{
  "formula": "TaAlFeOs",
  "functional": "PBE",
  "state": "optimized geometry",
  "magnetic_moment_mub_per_cell": 3.5,
  "e_above_lowest_polymorph_ev_per_fu": 1.838,
  "spacegroup": "No. 216",
  "cell": [[0.0000, 3.0969, 3.0969], [3.0969, 0.0000, 3.0969], [3.0969, 3.0969, 0.0000]],
  "species": ["Al", "Fe", "Os", "Ta"],
  "frac_coords": [[0.0000, 0.0000, 0.0000], [0.7500, 0.7500, 0.7500], [0.5000, 0.5000, 0.5000], [0.2500, 0.2500, 0.2500]]
}


(5)
{
  "formula": "Zr2NiSn",
  "functional": "PBE",
  "state": "optimized geometry",
  "magnetic_moment_mub_per_cell": 0.0,
  "dft_energy_ev_per_atom": -6.808,
  "spacegroup": "No. 40",
  "cell": [[4.8889, 0.0000, 0.0000], [0.0000, 5.4378, 2.9620], [0.0000, -5.4378, 2.9620]],
  "species": ["Ni", "Ni", "Sn", "Sn", "Zr", "Zr", "Zr", "Zr"],
  "frac_coords": [[0.7500, 0.6487, 0.3113], [0.2500, 0.3113, 0.6487], [0.2500, 0.3378, 0.1688], [0.7500, 0.1688, 0.3378], [0.2500, 0.8253, 0.2073], [0.2500, 0.8106, 0.6902], [0.7500, 0.6902, 0.8106], [0.7500, 0.2073, 0.8253]]
}


(6)
{
  "formula": "CsHfGa",
  "functional": "PBE",
  "state": "optimized geometry",
  "magnetic_moment_mub_per_cell": 0.0,
  "e_above_lowest_polymorph_ev_per_fu": 0.000,
  "spacegroup": "No. 216",
  "cell": [[0.0000, 3.5848, 3.5848], [3.5848, 0.0000, 3.5848], [3.5848, 3.5848, 0.0000]],
  "species": ["Cs", "Ga", "Hf"],
  "frac_coords": [[0.2500, 0.2500, 0.2500], [0.7500, 0.7500, 0.7500], [0.0000, 0.0000, 0.0000]]
}


(7)
{
  "formula": "Pr2ReAu3",
  "functional": "PBE",
  "state": "optimized geometry",
  "magnetic_moment_mub_per_cell": 1.5,
  "ef_mev_per_atom": 424,
  "spacegroup": "No. 164",
  "cell": [[5.5189, 0.0000, 0.0000], [-2.7594, 4.7795, 0.0000], [0.0000, 0.0000, 5.5429]],
  "species": ["Au", "Au", "Au", "Pr", "Pr", "Re"],
  "frac_coords": [[0.5000, 0.0000, 0.0000], [0.0000, 0.5000, 0.0000], [0.5000, 0.5000, 0.0000], [0.3333, 0.6667, 0.4989], [0.6667, 0.3333, 0.5011], [0.0000, 0.0000, 0.5000]]
}


(8)
{
  "formula": "LaGd2NiSn3Ir2",
  "functional": "PBE",
  "state": "optimized geometry",
  "magnetic_moment_mub_per_cell": 0.0,
  "dft_energy_ev_per_atom": -6.276,
  "spacegroup": "No. 38",
  "cell": [[-2.0211, 2.2485, 2.6553], [4.8470, -1.9773, 5.3637], [1.3073, 6.0928, -4.1643]],
  "species": ["Gd", "Gd", "Ir", "Ir", "La", "Ni", "Sn", "Sn", "Sn"],
  "frac_coords": [[0.0000, 0.9992, 0.4088], [0.0000, 0.4088, 0.9992], [0.5000, 0.6687, 0.3332], [0.5000, 0.3332, 0.6687], [0.0000, 0.5854, 0.5854], [0.0000, 0.0039, 0.0039], [0.5000, 0.7517, 0.0051], [0.5000, 0.2439, 0.2439], [0.5000, 0.0051, 0.7517]]
}


What did the third record say?
{
  "formula": "LaThMo3",
  "functional": "PBE",
  "state": "optimized geometry",
  "magnetic_moment_mub_per_cell": 0.0,
  "ef_mev_per_atom": 554,
  "spacegroup": "No. 74",
  "cell": [[-2.7901, 3.7956, 5.1839], [2.7901, -3.7956, 5.1839], [2.7901, 3.7956, -5.1839]],
  "species": ["La", "La", "Mo", "Mo", "Mo", "Mo", "Mo", "Mo", "Th", "Th"],
  "frac_coords": [[0.0000, 0.0000, 0.0000], [0.5000, 0.0000, 0.5000], [0.6693, 0.0000, 0.1693], [0.0499, 0.7999, 0.2500], [0.3307, 0.5000, 0.3307], [0.6693, 0.5000, 0.6693], [0.9501, 0.2001, 0.7500], [0.3307, 0.0000, 0.8307], [0.7791, 0.5291, 0.2500], [0.2209, 0.4709, 0.7500]]
}